1.
Below is SrZn3Ge2 after structural relaxation, with properties calculated at the PBE-GGA level.

Cell: 8.5045 8.5045 7.7338 Å, 113.58 113.58 28.75°
Positions (direct):
Sr1 0.1456 0.1456 0.0623
Sr2 0.8544 0.8544 0.9377
Zn1 0.0447 0.0447 0.3929
Zn2 0.3178 0.3178 0.5561
Zn3 0.4044 0.4044 0.3291
Zn4 0.5956 0.5956 0.6709
Zn5 0.6822 0.6822 0.4439
Zn6 0.9553 0.9553 0.6071
Ge1 0.1996 0.1996 0.6917
Ge2 0.4845 0.4845 0.8205
Ge3 0.5155 0.5155 0.1795
Ge4 0.8004 0.8004 0.3083

The calculation puts the formation energy from the elements at -0.2507 eV per atom. The space group is C2/m (12).

=====

2.
Below is SrZn3Ge after structural relaxation, with properties calculated at the PBE-GGA level.

Cell: 5.6967 5.6967 5.6967 Å, 90.00 90.00 90.00°
Positions (direct):
Sr1 0.0000 0.0000 0.0000
Zn1 0.0000 0.0000 0.5000
Zn2 0.0000 0.5000 0.0000
Zn3 0.5000 0.0000 0.0000
Ge1 0.5000 0.5000 0.5000

The calculation puts the formation energy from the elements at 1.1191 eV per atom. Its polymorph energy (0 for the lowest one) is 1371 meV/atom. The space group is Pm-3m (221).

=====

3.
Below is Sr3Zn2Ge2 after structural relaxation, with properties calculated at the PBE-GGA level.

Cell: 6.2634 6.2634 7.5158 Å, 109.25 109.25 44.80°
Positions (direct):
Sr1 0.0000 0.0000 0.0000
Sr2 0.1704 0.1704 0.6219
Sr3 0.8296 0.8296 0.3781
Zn1 0.3069 0.3069 0.0724
Zn2 0.6931 0.6931 0.9276
Ge1 0.4735 0.4735 0.6633
Ge2 0.5265 0.5265 0.3367

The calculation puts the formation energy from the elements at -0.4355 eV per atom. The space group is C2/m (12).

=====

4.
Below is SrZn2Ge2 after structural relaxation, with properties calculated at the PBE-GGA level.

Cell: 7.9219 7.9219 3.3090 Å, 90.00 90.00 90.00°
Positions (direct):
Sr1 0.0000 0.0000 0.0000
Sr2 0.5000 0.5000 0.0000
Zn1 0.1169 0.3831 0.0000
Zn2 0.3831 0.8831 0.0000
Zn3 0.6169 0.1169 0.0000
Zn4 0.8831 0.6169 0.0000
Ge1 0.1747 0.6747 0.5000
Ge2 0.3253 0.1747 0.5000
Ge3 0.6747 0.8253 0.5000
Ge4 0.8253 0.3253 0.5000

The calculation puts the formation energy from the elements at -0.0778 eV per atom. The space group is P4/mbm (127).